## A
CuRuSeN2 | Alexandria | GGA-PBE | relaxed; space group = P4/mmm (123); spin magnetization = 0.00 μB/f.u.; N(E_F) = 3.7 states/eV/cell
1.0
3.7326 0.0000 0.0000
0.0000 3.7326 0.0000
0.0000 0.0000 5.5228
N Se Cu Ru
2 1 1 1
Cartesian
1.8663 0.0000 0.0000 N
0.0000 1.8663 0.0000 N
0.0000 0.0000 2.7614 Se
1.8663 1.8663 2.7614 Cu
0.0000 0.0000 0.0000 Ru


## B
CuRuSeN2 | Alexandria | GGA-PBE | relaxed; space group = P4/mmm (123); spin magnetization = 0.37 μB/f.u.; N(E_F) = 5.6 states/eV/cell
1.0
3.6908 0.0000 0.0000
0.0000 3.6908 0.0000
0.0000 0.0000 4.9602
Cu N Ru Se
1 2 1 1
Cartesian
0.0000 0.0000 0.0000 Cu
1.8454 0.0000 0.0000 N
0.0000 1.8454 0.0000 N
1.8454 1.8454 2.4801 Ru
0.0000 0.0000 2.4801 Se


Most stable of them? A.


## A
CuTeRuN2 | Alexandria | GGA-PBE | relaxed; space group = P4/mmm (123); spin magnetization = 1.91 μB/f.u.; N(E_F) = 3.7 states/eV/cell
1.0
3.7514 0.0000 0.0000
0.0000 3.7514 0.0000
0.0000 0.0000 5.7008
N Ru Cu Te
2 1 1 1
Cartesian
1.8757 0.0000 0.0000 N
0.0000 1.8757 0.0000 N
1.8757 1.8757 2.8504 Ru
0.0000 0.0000 0.0000 Cu
0.0000 0.0000 2.8504 Te


## B
CuTeRuN2 | Alexandria | GGA-PBE | relaxed; space group = P4/mmm (123); spin magnetization = 0.31 μB/f.u.; N(E_F) = 2.2 states/eV/cell
1.0
-3.1443 -0.0180 -2.0941
1.6377 -2.3757 -2.4385
-2.0060 -4.5144 3.0509
Te Cu N Ru
1 1 2 1
Cartesian
-1.0030 -2.2572 1.5255 Te
-1.7563 -3.4541 -0.7408 Cu
0.8188 -1.1878 -1.2192 N
-1.5721 -0.0090 -1.0470 N
0.0000 0.0000 0.0000 Ru


Most stable of them? B.